Entry from Alexandria: NiPO2F after structural relaxation (PBE with a Hubbard U).

It has space group P4/mmm (No. 123), with a = 3.5334 Å, b = 3.5334 Å, c = 4.7690 Å, α = 90.00°, β = 90.00° and γ = 90.00°. The asymmetric unit holds Ni at (0.0000, 0.0000, 0.0000), P at (0.0000, 0.0000, 0.5000), O at (0.0000, 0.5000, 0.0000) and F at (0.5000, 0.5000, 0.5000).

As for the total energy: -3.779 eV/atom. As for the theoretical density: 3.923 Mg/m³.